DFT (PBE-GGA) results for a relaxed La6TbPrHo2 crystal.

Cell: 6.741 6.741 8.975 Å, 101.44 101.44 65.02°
Element x y z (fractional)
La  0.100  0.542  0.200
La  0.138  0.138  0.437
La  0.458  0.900  0.800
La  0.542  0.100  0.200
La  0.862  0.862  0.563
La  0.900  0.458  0.800
Tb  0.500  0.500  0.500
Pr  0.000  0.000  0.000
Ho  0.409  0.409  0.836
Ho  0.591  0.591  0.164

Properties
Formation energy from the elements in meV per atom: 187
D(E_F) in states/eV/atom: 1.930
Volume in A^3/atom: 35.93